No. 1
Density functional theory data (SCAN) for a PBEsol-optimized structure of Zr2CO.

Computed properties:
* total magnetic moment: 0.00 μB/f.u.
* ΔE_f (raw): -1.588 eV/atom
* space-group type: No. 122
* V: 122.90 Å³ per cell
* DOS at the Fermi energy: 2.86 states/eV/cell

a b c (Å): 4.950 4.950 6.116
angles (deg): 113.87 113.87 90.00
Sites, in units of the cell vectors:
1 Zr 0.876 0.375 0.250
2 Zr 0.125 0.124 0.750
3 Zr 0.374 0.875 0.250
4 Zr 0.625 0.626 0.750
5 C 0.750 0.250 0.500
6 C 0.500 0.500 0.000
7 O 0.000 0.000 0.000
8 O 0.250 0.750 0.500

***

No. 2
Density functional theory data (SCAN) for a PBEsol-optimized structure of AlP2H18C6Cl3.

Computed properties:
* total magnetic moment: 0.00 μB/f.u.
* total DFT energy (no corrections): -6.2829 eV per atom
* space-group type: No. 62
* V: 1455.03 Å³ per cell
* DOS at the Fermi energy: 0.00 states/eV/cell

a b c (Å): 10.053 10.649 13.591
angles (deg): 90.00 90.00 90.00
Sites, in units of the cell vectors:
1 C 0.933 0.750 0.258
2 C 0.083 0.615 0.113
3 C 0.094 0.615 0.676
4 C 0.067 0.250 0.742
5 C 0.417 0.385 0.613
6 C 0.567 0.250 0.758
7 C 0.906 0.115 0.324
8 C 0.406 0.385 0.176
9 C 0.417 0.115 0.613
10 C 0.917 0.115 0.887
11 C 0.406 0.115 0.176
12 C 0.917 0.385 0.887
13 C 0.094 0.885 0.676
14 C 0.070 0.250 0.460
15 C 0.570 0.250 0.040
16 C 0.906 0.385 0.324
17 C 0.083 0.885 0.113
18 C 0.583 0.885 0.387
19 C 0.433 0.750 0.242
20 C 0.594 0.615 0.824
21 C 0.430 0.750 0.960
22 C 0.594 0.885 0.824
23 C 0.583 0.615 0.387
24 C 0.930 0.750 0.540
25 H 0.663 0.885 0.332
26 H 0.977 0.250 0.696
27 H 0.627 0.166 0.774
28 H 0.016 0.624 0.732
29 H 0.419 0.666 0.006
30 H 0.808 0.394 0.288
31 H 0.374 0.114 0.538
32 H 0.808 0.106 0.288
33 H 0.081 0.166 0.506
34 H 0.484 0.376 0.232
35 H 0.081 0.334 0.506
36 H 0.924 0.030 0.369
37 H 0.024 0.972 0.122
38 H 0.308 0.394 0.212
39 H 0.419 0.834 0.006
40 H 0.874 0.114 0.962
41 H 0.976 0.472 0.878
42 H 0.337 0.385 0.668
43 H 0.692 0.894 0.788
44 H 0.873 0.834 0.274
45 H 0.023 0.750 0.304
46 H 0.476 0.472 0.622
47 H 0.024 0.528 0.122
48 H 0.692 0.606 0.788
49 H 0.626 0.886 0.462
50 H 0.524 0.528 0.378
51 H 0.163 0.885 0.168
52 H 0.873 0.666 0.274
53 H 0.353 0.750 0.903
54 H 0.373 0.666 0.226
55 H 0.837 0.385 0.832
56 H 0.976 0.028 0.878
57 H 0.984 0.376 0.268
58 H 0.127 0.166 0.726
59 H 0.627 0.334 0.774
60 H 0.524 0.972 0.378
61 H 0.647 0.250 0.097
62 H 0.337 0.115 0.668
63 H 0.476 0.028 0.622
64 H 0.576 0.530 0.869
65 H 0.127 0.334 0.726
66 H 0.626 0.614 0.462
67 H 0.853 0.750 0.597
68 H 0.477 0.250 0.804
69 H 0.874 0.386 0.962
70 H 0.016 0.876 0.732
71 H 0.147 0.250 0.403
72 H 0.581 0.166 0.994
73 H 0.663 0.615 0.332
74 H 0.576 0.970 0.869
75 H 0.192 0.894 0.712
76 H 0.192 0.606 0.712
77 H 0.924 0.470 0.369
78 H 0.424 0.030 0.131
79 H 0.837 0.115 0.832
80 H 0.163 0.615 0.168
81 H 0.919 0.834 0.494
82 H 0.523 0.750 0.196
83 H 0.516 0.876 0.768
84 H 0.919 0.666 0.494
85 H 0.126 0.614 0.038
86 H 0.076 0.530 0.631
87 H 0.581 0.334 0.994
88 H 0.076 0.970 0.631
89 H 0.126 0.886 0.038
90 H 0.484 0.124 0.232
91 H 0.516 0.624 0.768
92 H 0.308 0.106 0.212
93 H 0.374 0.386 0.538
94 H 0.424 0.470 0.131
95 H 0.984 0.124 0.268
96 H 0.373 0.834 0.226
97 Cl 0.789 0.427 0.588
98 Cl 0.211 0.927 0.412
99 Cl 0.418 0.750 0.607
100 Cl 0.711 0.573 0.088
101 Cl 0.789 0.073 0.588
102 Cl 0.289 0.073 0.912
103 Cl 0.582 0.250 0.393
104 Cl 0.211 0.573 0.412
105 Cl 0.918 0.750 0.893
106 Cl 0.711 0.927 0.088
107 Cl 0.082 0.250 0.107
108 Cl 0.289 0.427 0.912
109 P 0.905 0.250 0.405
110 P 0.405 0.250 0.095
111 P 0.524 0.250 0.628
112 P 0.595 0.750 0.905
113 P 0.976 0.750 0.128
114 P 0.095 0.750 0.595
115 P 0.476 0.750 0.372
116 P 0.024 0.250 0.872
117 Al 0.281 0.750 0.479
118 Al 0.219 0.250 0.979
119 Al 0.781 0.750 0.021
120 Al 0.719 0.250 0.521

***

No. 3
Density functional theory data (SCAN) for a PBEsol-optimized structure of CaLu2S4.

Computed properties:
* total magnetic moment: 0.00 μB/f.u.
* ΔE_f (raw): -2.384 eV/atom
* space-group type: No. 62
* V: 609.21 Å³ per cell
* DOS at the Fermi energy: 0.00 states/eV/cell

a b c (Å): 3.785 12.594 12.780
angles (deg): 90.00 90.00 90.00
Sites, in units of the cell vectors:
1 S 0.250 0.783 0.762
2 S 0.250 0.240 0.474
3 S 0.750 0.036 0.618
4 S 0.250 0.740 0.026
5 S 0.750 0.469 0.382
6 S 0.250 0.283 0.738
7 S 0.750 0.260 0.974
8 S 0.750 0.760 0.526
9 S 0.250 0.464 0.118
10 S 0.750 0.536 0.882
11 S 0.250 0.031 0.882
12 S 0.750 0.217 0.238
13 S 0.250 0.531 0.618
14 S 0.750 0.717 0.262
15 S 0.750 0.969 0.118
16 S 0.250 0.964 0.382
17 Lu 0.750 0.106 0.416
18 Lu 0.250 0.352 0.299
19 Lu 0.250 0.894 0.584
20 Lu 0.750 0.648 0.701
21 Lu 0.750 0.148 0.799
22 Lu 0.250 0.394 0.916
23 Lu 0.750 0.606 0.084
24 Lu 0.250 0.852 0.201
25 Ca 0.750 0.868 0.916
26 Ca 0.750 0.368 0.584
27 Ca 0.250 0.132 0.084
28 Ca 0.250 0.632 0.416

***

No. 4
Density functional theory data (SCAN) for a PBEsol-optimized structure of LiCa2Te.

Computed properties:
* total magnetic moment: 0.00 μB/f.u.
* ΔE_f (raw): -0.690 eV/atom
* space-group type: No. 123
* V: 109.90 Å³ per cell
* DOS at the Fermi energy: 2.62 states/eV/cell

a b c (Å): 4.068 5.198 5.198
angles (deg): 90.01 90.00 90.00
Sites, in units of the cell vectors:
1 Ca 0.000 0.000 0.500
2 Ca 0.000 0.500 0.000
3 Li 0.500 0.500 0.500
4 Te 0.500 0.000 0.000

***

No. 5
Density functional theory data (SCAN) for a PBEsol-optimized structure of Li2Sn2Pb.

Computed properties:
* total magnetic moment: 0.00 μB/f.u.
* space-group type: No. 127
* energy of formation from the pure elements: -0.267 eV per atom
* V: 228.29 Å³ per cell
* DOS at the Fermi energy: 2.99 states/eV/cell

a b c (Å): 3.293 8.327 8.327
angles (deg): 90.00 90.00 90.00
Sites, in units of the cell vectors:
1 Li 0.500 0.177 0.677
2 Li 0.500 0.323 0.177
3 Li 0.500 0.823 0.323
4 Li 0.500 0.677 0.823
5 Sn 0.000 0.623 0.123
6 Sn 0.000 0.123 0.377
7 Sn 0.000 0.877 0.623
8 Sn 0.000 0.377 0.877
9 Pb 0.000 0.000 0.000
10 Pb 0.000 0.500 0.500

***

No. 6
Density functional theory data (SCAN) for a PBEsol-optimized structure of Mg2IrNO.

Computed properties:
* total magnetic moment: 0.00 μB/f.u.
* ΔE_f (raw): -0.064 eV/atom
* space-group type: No. 123
* V: 87.49 Å³ per cell
* DOS at the Fermi energy: 0.69 states/eV/cell

a b c (Å): 3.621 4.916 4.916
angles (deg): 90.00 90.00 90.00
Sites, in units of the cell vectors:
1 O 0.500 0.500 0.500
2 Mg 0.000 0.000 0.500
3 Mg 0.000 0.500 0.000
4 N 0.500 0.000 0.000
5 Ir 0.000 0.000 0.000

***

No. 7
Density functional theory data (SCAN) for a PBEsol-optimized structure of BaS2F.

Computed properties:
* total magnetic moment: 3.00 μB/f.u.
* ΔE_f (raw): -0.822 eV/atom
* space-group type: No. 225
* V: 90.37 Å³ per cell
* DOS at the Fermi energy: 2.22 states/eV/cell

a b c (Å): 5.037 5.037 5.037
angles (deg): 60.00 60.00 60.00
Last column: magnetic moment on the atom in μB.
Sites, in units of the cell vectors:
1 S 0.250 0.250 0.250  0.85
2 S 0.750 0.750 0.750  0.85
3 F 0.000 0.000 0.000  0.32
4 Ba 0.500 0.500 0.500  0.05

***

No. 8
Density functional theory data (SCAN) for a PBEsol-optimized structure of Li3NbNi3O8.

Computed properties:
* total magnetic moment: 4.00 μB/f.u.
* ΔE_f (raw): -1.873 eV/atom
* space-group type: No. 12
* V: 140.77 Å³ per cell
* DOS at the Fermi energy: 4.78 states/eV/cell

a b c (Å): 5.772 5.814 5.767
angles (deg): 118.29 90.00 119.76
Last column: magnetic moment on the atom in μB.
Sites, in units of the cell vectors:
1 O 0.723 0.447 0.197  0.02
2 O 0.239 0.479 0.240  0.09
3 O 0.761 0.521 0.760  0.09
4 O 0.257 0.993 0.231  0.05
5 O 0.264 0.007 0.769  0.05
6 O 0.736 0.993 0.231  0.05
7 O 0.743 0.007 0.769  0.05
8 O 0.277 0.553 0.803  0.02
9 Li 0.000 0.500 0.500  0.01
10 Li 0.500 0.500 0.500  0.01
11 Li 0.500 0.000 0.500  0.00
12 Ni 0.500 0.500 0.000  1.50
13 Ni 0.500 0.000 0.000  0.46
14 Ni 0.000 0.500 0.000  1.50
15 Nb 0.000 0.000 0.000  0.03

***

No. 9
Density functional theory data (SCAN) for a PBEsol-optimized structure of RbHfGeRu2.

Computed properties:
* total magnetic moment: 0.00 μB/f.u.
* space-group type: No. 123
* energy of formation from the pure elements: 1.637 eV per atom
* V: 124.50 Å³ per cell
* DOS at the Fermi energy: 4.26 states/eV/cell

a b c (Å): 4.724 4.724 5.578
angles (deg): 90.00 90.00 90.00
Sites, in units of the cell vectors:
1 Ge 0.500 0.500 0.500
2 Ru 0.500 0.000 0.000
3 Ru 0.000 0.500 0.000
4 Rb 0.000 0.000 0.500
5 Hf 0.000 0.000 0.000

***

No. 10
Density functional theory data (SCAN) for a PBEsol-optimized structure of Zr6Ga2Co.

Computed properties:
* total magnetic moment: 0.00 μB/f.u.
* space-group type: No. 189
* energy of formation from the pure elements: -0.448 eV per atom
* V: 171.31 Å³ per cell
* DOS at the Fermi energy: 9.93 states/eV/cell

a b c (Å): 3.308 7.732 7.732
angles (deg): 120.00 90.00 90.00
Sites, in units of the cell vectors:
1 Zr 0.500 0.000 0.595
2 Zr 0.000 0.000 0.251
3 Zr 0.000 0.749 0.749
4 Zr 0.000 0.251 0.000
5 Zr 0.500 0.595 0.000
6 Zr 0.500 0.405 0.405
7 Ga 0.000 0.333 0.667
8 Ga 0.000 0.667 0.333
9 Co 0.500 0.000 0.000

***

No. 11
Density functional theory data (SCAN) for a PBEsol-optimized structure of YAgTe2.

Computed properties:
* total magnetic moment: 0.00 μB/f.u.
* ΔE_f (raw): -1.018 eV/atom
* space-group type: No. 156
* V: 121.19 Å³ per cell

a b c (Å): 4.435 4.435 7.113
angles (deg): 90.00 90.00 120.00
Sites, in units of the cell vectors:
1 Te 0.333 0.667 0.762
2 Te 0.667 0.333 0.239
3 Y 0.000 0.000 0.012
4 Ag 0.667 0.333 0.622

***

No. 12
Density functional theory data (SCAN) for a PBEsol-optimized structure of SbOs2W.

Computed properties:
* total magnetic moment: 0.00 μB/f.u.
* ΔE_f (raw): 0.616 eV/atom
* space-group type: No. 160
* V: 63.77 Å³ per cell
* DOS at the Fermi energy: 2.42 states/eV/cell

a b c (Å): 2.894 2.894 8.949
angles (deg): 80.69 80.69 60.00
Sites, in units of the cell vectors:
1 W 0.254 0.254 0.239
2 Os 0.748 0.748 0.756
3 Os 0.001 0.001 0.998
4 Sb 0.498 0.498 0.506

***

What did the ninth record say?
Density functional theory data (SCAN) for a PBEsol-optimized structure of RbHfGeRu2.

Computed properties:
* total magnetic moment: 0.00 μB/f.u.
* space-group type: No. 123
* energy of formation from the pure elements: 1.637 eV per atom
* V: 124.50 Å³ per cell
* DOS at the Fermi energy: 4.26 states/eV/cell

a b c (Å): 4.724 4.724 5.578
angles (deg): 90.00 90.00 90.00
Sites, in units of the cell vectors:
1 Ge 0.500 0.500 0.500
2 Ru 0.500 0.000 0.000
3 Ru 0.000 0.500 0.000
4 Rb 0.000 0.000 0.500
5 Hf 0.000 0.000 0.000

***

What did the eleventh record say?
Density functional theory data (SCAN) for a PBEsol-optimized structure of YAgTe2.

Computed properties:
* total magnetic moment: 0.00 μB/f.u.
* ΔE_f (raw): -1.018 eV/atom
* space-group type: No. 156
* V: 121.19 Å³ per cell

a b c (Å): 4.435 4.435 7.113
angles (deg): 90.00 90.00 120.00
Sites, in units of the cell vectors:
1 Te 0.333 0.667 0.762
2 Te 0.667 0.333 0.239
3 Y 0.000 0.000 0.012
4 Ag 0.667 0.333 0.622

***

Repeat the tenth record exactly.
Density functional theory data (SCAN) for a PBEsol-optimized structure of Zr6Ga2Co.

Computed properties:
* total magnetic moment: 0.00 μB/f.u.
* space-group type: No. 189
* energy of formation from the pure elements: -0.448 eV per atom
* V: 171.31 Å³ per cell
* DOS at the Fermi energy: 9.93 states/eV/cell

a b c (Å): 3.308 7.732 7.732
angles (deg): 120.00 90.00 90.00
Sites, in units of the cell vectors:
1 Zr 0.500 0.000 0.595
2 Zr 0.000 0.000 0.251
3 Zr 0.000 0.749 0.749
4 Zr 0.000 0.251 0.000
5 Zr 0.500 0.595 0.000
6 Zr 0.500 0.405 0.405
7 Ga 0.000 0.333 0.667
8 Ga 0.000 0.667 0.333
9 Co 0.500 0.000 0.000